[1]
VASP calculation (GGA-PBE) on crystalline CuNiS2 at its relaxed geometry.

Cell and atoms, written as POSCAR:
```
CuNiS2
1.0
-0.828 -1.602 -6.024
1.056 -3.094 0.678
-12.682 -3.730 2.735
S Cu Ni
8 4 4
Direct
0.823 0.750 0.063 S
0.177 0.250 0.937 S
0.778 0.250 0.829 S
0.677 0.250 0.563 S
0.278 0.250 0.671 S
0.222 0.750 0.171 S
0.722 0.750 0.329 S
0.323 0.750 0.437 S
0.575 0.750 0.178 Cu
0.925 0.250 0.678 Cu
0.425 0.250 0.822 Cu
0.075 0.750 0.322 Cu
0.457 0.750 0.601 Ni
0.543 0.250 0.399 Ni
0.957 0.750 0.899 Ni
0.043 0.250 0.101 Ni
```

Output
As for the volume: 283.4 Å³/cell. The value obtained for the formation energy without anion corrections is -0.233 eV per atom. For the magnetization, the calculation gives 0.0 μB/cell. As for the symmetry: Pnma, No. 62. As for the crystal system: orthorhombic.


[2]
VASP calculation (GGA-PBE) on crystalline CuNi2S4 at its relaxed geometry.

Cell and atoms, written as POSCAR:
```
CuNi2S4
1.0
6.781 0.000 0.000
-3.390 5.545 -1.925
0.000 -0.058 11.746
S Cu Ni
16 4 8
Direct
0.143 0.785 0.381 S
0.095 0.238 0.881 S
0.357 0.215 0.119 S
0.631 0.762 0.393 S
0.595 0.238 0.381 S
0.357 0.762 0.119 S
0.369 0.238 0.607 S
0.143 0.238 0.381 S
0.905 0.762 0.119 S
0.857 0.215 0.619 S
0.857 0.762 0.619 S
0.643 0.238 0.881 S
0.405 0.762 0.619 S
0.643 0.785 0.881 S
0.131 0.762 0.893 S
0.869 0.238 0.107 S
0.438 0.375 0.813 Cu
0.938 0.375 0.313 Cu
0.062 0.625 0.687 Cu
0.562 0.625 0.187 Cu
0.500 0.500 0.500 Ni
0.750 0.000 0.750 Ni
0.000 0.000 0.000 Ni
0.000 0.000 0.500 Ni
0.000 0.500 0.000 Ni
0.500 0.000 0.000 Ni
0.250 0.000 0.250 Ni
0.500 0.000 0.500 Ni
```

Output
As for the volume: 440.8 Å³/cell. The value obtained for the formation energy without anion corrections is -0.304 eV per atom. For the magnetization, the calculation gives 0.0 μB/cell. As for the symmetry: R-3m, No. 166. As for the crystal system: trigonal.


[3]
VASP calculation (GGA-PBE) on crystalline Cu3NiS at its relaxed geometry.

Cell and atoms, written as POSCAR:
```
Cu3NiS
1.0
4.250 0.000 0.000
0.000 4.250 0.000
0.000 0.000 4.250
Cu Ni S
3 1 1
Direct
0.500 0.000 0.000 Cu
0.000 0.500 0.000 Cu
0.000 0.000 0.500 Cu
0.500 0.500 0.500 Ni
0.000 0.000 0.000 S
```

Output
As for the volume: 76.7 Å³/cell. The value obtained for the formation energy without anion corrections is 0.577 eV per atom. For the magnetization, the calculation gives 0.0 μB/cell. The energy above the most stable polymorph in this dataset comes out at 0.0 meV per atom. As for the symmetry: Pm-3m, No. 221. As for the crystal system: cubic.


Results for DFT total energy: -76.3 -137.2 -19.3 (in eV per cell, following the order of the records).